DFT (PBE with a Hubbard U) results for a relaxed structure of Co5Te3O16.

a = 5.969 Å, b = 5.969 Å, c = 8.812 Å
α = 91.33°, β = 91.33°, γ = 60.07°
Fractional coordinates of all 24 atoms:
1 Co 0.000 0.000 0.000
2 Co 0.183 0.692 0.262
3 Co 0.516 0.516 0.763
4 Co 0.677 0.677 0.476
5 Co 0.692 0.183 0.262
6 Te 0.014 0.518 0.757
7 Te 0.186 0.186 0.265
8 Te 0.518 0.014 0.757
9 O 0.011 0.520 0.370
10 O 0.019 0.019 0.373
11 O 0.172 0.681 0.870
12 O 0.180 0.180 0.869
13 O 0.295 0.867 0.128
14 O 0.341 0.341 0.641
15 O 0.350 0.350 0.157
16 O 0.395 0.836 0.624
17 O 0.511 0.511 0.376
18 O 0.520 0.011 0.370
19 O 0.681 0.172 0.870
20 O 0.694 0.694 0.883
21 O 0.831 0.831 0.621
22 O 0.836 0.395 0.624
23 O 0.867 0.295 0.128
24 O 0.872 0.872 0.140

Results
E_tot, eV/cell: -134.05
SG: Cm, No. 8

---

DFT (PBE with a Hubbard U) results for a relaxed structure of CoTe2O6.

a = 9.022 Å, b = 9.022 Å, c = 4.686 Å
α = 90.00°, β = 90.00°, γ = 120.00°
Fractional coordinates of all 27 atoms:
1 Co 0.000 0.000 0.000
2 Co 0.333 0.667 0.508
3 Co 0.667 0.333 0.492
4 Te 0.000 0.312 0.500
5 Te 0.000 0.644 0.000
6 Te 0.312 0.000 0.500
7 Te 0.356 0.356 0.000
8 Te 0.644 0.000 0.000
9 Te 0.688 0.688 0.500
10 O 0.107 0.530 0.733
11 O 0.109 0.222 0.754
12 O 0.113 0.891 0.754
13 O 0.215 0.438 0.280
14 O 0.222 0.109 0.246
15 O 0.223 0.785 0.280
16 O 0.423 0.893 0.733
17 O 0.438 0.215 0.720
18 O 0.470 0.577 0.733
19 O 0.530 0.107 0.267
20 O 0.562 0.777 0.280
21 O 0.577 0.470 0.267
22 O 0.777 0.562 0.720
23 O 0.778 0.887 0.754
24 O 0.785 0.223 0.720
25 O 0.887 0.778 0.246
26 O 0.891 0.113 0.246
27 O 0.893 0.423 0.267

Results
E_tot, eV/cell: -149.00
SG: P321, No. 150

---

DFT (PBE with a Hubbard U) results for a relaxed structure of Co3TeO6.

a = 8.718 Å, b = 8.718 Å, c = 10.492 Å
α = 94.25°, β = 94.25°, γ = 61.68°
Fractional coordinates of all 60 atoms:
1 Co 0.007 0.715 0.231
2 Co 0.064 0.343 0.426
3 Co 0.129 0.543 0.946
4 Co 0.188 0.812 0.750
5 Co 0.285 0.993 0.269
6 Co 0.321 0.630 0.461
7 Co 0.343 0.064 0.926
8 Co 0.370 0.679 0.039
9 Co 0.457 0.871 0.554
10 Co 0.543 0.129 0.446
11 Co 0.630 0.321 0.961
12 Co 0.657 0.936 0.074
13 Co 0.679 0.370 0.539
14 Co 0.715 0.007 0.731
15 Co 0.812 0.188 0.250
16 Co 0.871 0.457 0.054
17 Co 0.936 0.657 0.574
18 Co 0.993 0.285 0.769
19 Te 0.000 0.000 0.000
20 Te 0.000 0.000 0.500
21 Te 0.338 0.339 0.699
22 Te 0.339 0.338 0.199
23 Te 0.661 0.662 0.801
24 Te 0.662 0.661 0.301
25 O 0.057 0.084 0.164
26 O 0.084 0.057 0.664
27 O 0.089 0.765 0.066
28 O 0.093 0.762 0.562
29 O 0.109 0.439 0.110
30 O 0.112 0.412 0.603
31 O 0.224 0.276 0.830
32 O 0.235 0.911 0.434
33 O 0.238 0.555 0.304
34 O 0.238 0.907 0.938
35 O 0.250 0.562 0.797
36 O 0.276 0.224 0.330
37 O 0.406 0.434 0.061
38 O 0.412 0.112 0.103
39 O 0.434 0.406 0.561
40 O 0.438 0.750 0.703
41 O 0.439 0.109 0.610
42 O 0.445 0.762 0.196
43 O 0.555 0.238 0.804
44 O 0.561 0.891 0.390
45 O 0.562 0.250 0.297
46 O 0.566 0.594 0.439
47 O 0.588 0.888 0.897
48 O 0.594 0.566 0.939
49 O 0.724 0.776 0.670
50 O 0.750 0.438 0.203
51 O 0.762 0.093 0.062
52 O 0.762 0.445 0.696
53 O 0.765 0.089 0.566
54 O 0.776 0.724 0.170
55 O 0.888 0.588 0.397
56 O 0.891 0.561 0.890
57 O 0.907 0.238 0.438
58 O 0.911 0.235 0.934
59 O 0.916 0.943 0.336
60 O 0.943 0.916 0.836

Results
E_tot, eV/cell: -353.50
SG: C2/c, No. 15
ΔE to the lowest computed polymorph, kJ/mol of formula units: 0.0

---

DFT (PBE with a Hubbard U) results for a relaxed structure of TiCoTeO6.

a = 5.138 Å, b = 5.138 Å, c = 9.054 Å
α = 90.00°, β = 90.00°, γ = 120.00°
Fractional coordinates of all 18 atoms:
1 Ti 0.333 0.667 0.250
2 Ti 0.667 0.333 0.750
3 Co 0.000 0.000 0.000
4 Co 0.000 0.000 0.500
5 Te 0.333 0.667 0.750
6 Te 0.667 0.333 0.250
7 O 0.004 0.356 0.633
8 O 0.004 0.648 0.867
9 O 0.352 0.356 0.867
10 O 0.352 0.996 0.633
11 O 0.356 0.004 0.133
12 O 0.356 0.352 0.367
13 O 0.644 0.648 0.633
14 O 0.644 0.996 0.867
15 O 0.648 0.004 0.367
16 O 0.648 0.644 0.133
17 O 0.996 0.352 0.133
18 O 0.996 0.644 0.367

Results
E_tot, eV/cell: -121.22
SG: P-31c, No. 163

---

DFT (PBE with a Hubbard U) results for a relaxed structure of Tl2CoTeO6.

a = 5.668 Å, b = 5.668 Å, c = 5.668 Å
α = 59.87°, β = 59.87°, γ = 59.87°
Fractional coordinates of all 10 atoms:
1 Tl 0.000 0.000 0.000
2 Tl 0.489 0.489 0.489
3 Co 0.232 0.232 0.232
4 Te 0.736 0.736 0.736
5 O 0.001 0.572 0.358
6 O 0.073 0.453 0.910
7 O 0.358 0.001 0.572
8 O 0.453 0.910 0.073
9 O 0.572 0.358 0.001
10 O 0.910 0.073 0.453

Results
E_tot, eV/cell: -49.18
SG: R3, No. 146

---

DFT (PBE with a Hubbard U) results for a relaxed structure of Tl3CoTe2O8.

a = 6.014 Å, b = 6.014 Å, c = 7.642 Å
α = 90.00°, β = 90.00°, γ = 120.00°
Fractional coordinates of all 14 atoms:
1 Tl 0.000 0.000 0.000
2 Tl 0.333 0.667 0.783
3 Tl 0.667 0.333 0.217
4 Co 0.000 0.000 0.500
5 Te 0.333 0.667 0.339
6 Te 0.667 0.333 0.661
7 O 0.144 0.289 0.342
8 O 0.144 0.856 0.342
9 O 0.289 0.144 0.658
10 O 0.333 0.667 0.095
11 O 0.667 0.333 0.905
12 O 0.711 0.856 0.342
13 O 0.856 0.144 0.658
14 O 0.856 0.711 0.658

Results
E_tot, eV/cell: -67.99
SG: P-3m1, No. 164

---

DFT (PBE with a Hubbard U) results for a relaxed structure of TlCo2TeO6.

a = 5.620 Å, b = 5.620 Å, c = 5.620 Å
α = 57.71°, β = 57.71°, γ = 57.71°
Fractional coordinates of all 10 atoms:
1 Tl 0.000 0.000 0.000
2 Co 0.264 0.264 0.264
3 Co 0.786 0.786 0.786
4 Te 0.483 0.483 0.483
5 O 0.067 0.635 0.442
6 O 0.125 0.563 0.913
7 O 0.442 0.067 0.635
8 O 0.563 0.913 0.125
9 O 0.635 0.442 0.067
10 O 0.913 0.125 0.563

Results
E_tot, eV/cell: -53.94
SG: R3, No. 146

---

DFT (PBE with a Hubbard U) results for a relaxed structure of UCoTeO6.

a = 5.616 Å, b = 5.616 Å, c = 8.870 Å
α = 90.00°, β = 90.00°, γ = 120.00°
Fractional coordinates of all 18 atoms:
1 U 0.333 0.667 0.250
2 U 0.667 0.333 0.750
3 Co 0.000 0.000 0.000
4 Co 0.000 0.000 0.500
5 Te 0.333 0.667 0.750
6 Te 0.667 0.333 0.250
7 O 0.011 0.343 0.130
8 O 0.011 0.668 0.370
9 O 0.332 0.343 0.370
10 O 0.332 0.989 0.130
11 O 0.343 0.011 0.630
12 O 0.343 0.332 0.870
13 O 0.657 0.668 0.130
14 O 0.657 0.989 0.370
15 O 0.668 0.011 0.870
16 O 0.668 0.657 0.630
17 O 0.989 0.332 0.630
18 O 0.989 0.657 0.870

Results
E_tot, eV/cell: -128.92
SG: P-31c, No. 163

---

DFT (PBE with a Hubbard U) results for a relaxed structure of V3Co3Te2O16.

a = 5.938 Å, b = 5.967 Å, c = 10.059 Å
α = 91.48°, β = 91.52°, γ = 118.69°
Fractional coordinates of all 24 atoms:
1 V 0.000 0.000 0.000
2 V 0.089 0.544 0.942
3 V 0.234 0.429 0.491
4 Co 0.513 0.064 0.943
5 Co 0.723 0.410 0.480
6 Co 0.733 0.901 0.481
7 Te 0.243 0.927 0.281
8 Te 0.579 0.581 0.741
9 O 0.090 0.089 0.386
10 O 0.108 0.611 0.391
11 O 0.125 0.846 0.874
12 O 0.235 0.428 0.829
13 O 0.309 0.170 0.078
14 O 0.325 0.703 0.059
15 O 0.392 0.288 0.611
16 O 0.408 0.714 0.613
17 O 0.537 0.543 0.390
18 O 0.578 0.093 0.371
19 O 0.701 0.401 0.851
20 O 0.706 0.889 0.851
21 O 0.850 0.700 0.612
22 O 0.863 0.771 0.108
23 O 0.888 0.245 0.030
24 O 0.915 0.267 0.561

Results
E_tot, eV/cell: -153.87
SG: P1, No. 1

---

DFT (PBE with a Hubbard U) results for a relaxed structure of V2Co3Te3O16.

a = 6.180 Å, b = 6.180 Å, c = 9.302 Å
α = 92.00°, β = 92.00°, γ = 58.77°
Fractional coordinates of all 24 atoms:
1 V 0.000 0.000 0.000
2 V 0.678 0.678 0.455
3 Co 0.186 0.687 0.260
4 Co 0.545 0.545 0.754
5 Co 0.687 0.186 0.260
6 Te 0.043 0.544 0.740
7 Te 0.187 0.187 0.248
8 Te 0.544 0.043 0.740
9 O 0.005 0.517 0.358
10 O 0.035 0.035 0.355
11 O 0.196 0.703 0.850
12 O 0.222 0.222 0.849
13 O 0.308 0.891 0.110
14 O 0.346 0.346 0.159
15 O 0.368 0.368 0.631
16 O 0.421 0.864 0.625
17 O 0.517 0.005 0.358
18 O 0.534 0.534 0.370
19 O 0.703 0.196 0.850
20 O 0.727 0.727 0.859
21 O 0.853 0.853 0.614
22 O 0.864 0.421 0.625
23 O 0.877 0.877 0.109
24 O 0.891 0.308 0.110

Results
E_tot, eV/cell: -146.74
SG: Cm, No. 8

---

DFT (PBE with a Hubbard U) results for a relaxed structure of ZnCoTe3O8.

a = 6.947 Å, b = 6.947 Å, c = 11.873 Å
α = 98.43°, β = 98.43°, γ = 44.79°
Fractional coordinates of all 26 atoms:
1 Zn 0.229 0.229 0.094
2 Zn 0.771 0.771 0.906
3 Co 0.184 0.358 0.401
4 Co 0.642 0.816 0.599
5 Te 0.062 0.938 0.500
6 Te 0.152 0.122 0.801
7 Te 0.266 0.459 0.693
8 Te 0.344 0.656 0.000
9 Te 0.541 0.734 0.307
10 Te 0.878 0.848 0.199
11 O 0.036 0.363 0.936
12 O 0.041 0.798 0.894
13 O 0.202 0.959 0.106
14 O 0.203 0.636 0.394
15 O 0.205 0.025 0.391
16 O 0.209 0.563 0.111
17 O 0.364 0.797 0.606
18 O 0.393 0.220 0.558
19 O 0.437 0.791 0.889
20 O 0.466 0.060 0.779
21 O 0.495 0.038 0.288
22 O 0.637 0.964 0.064
23 O 0.780 0.607 0.442
24 O 0.940 0.534 0.221
25 O 0.962 0.505 0.712
26 O 0.975 0.795 0.609

Results
E_tot, eV/cell: -140.26
SG: C2, No. 5

---

DFT (PBE with a Hubbard U) results for a relaxed structure of Zn2CoTeO6.

a = 6.691 Å, b = 6.691 Å, c = 5.402 Å
α = 95.68°, β = 95.68°, γ = 86.17°
Fractional coordinates of all 20 atoms:
1 Zn 0.088 0.282 0.301
2 Zn 0.282 0.088 0.801
3 Zn 0.718 0.912 0.199
4 Zn 0.912 0.718 0.699
5 Co 0.413 0.587 0.750
6 Co 0.587 0.413 0.250
7 Te 0.238 0.762 0.250
8 Te 0.762 0.238 0.750
9 O 0.032 0.221 0.642
10 O 0.149 0.643 0.918
11 O 0.221 0.032 0.142
12 O 0.294 0.488 0.374
13 O 0.357 0.851 0.582
14 O 0.488 0.294 0.874
15 O 0.512 0.706 0.126
16 O 0.643 0.149 0.418
17 O 0.706 0.512 0.626
18 O 0.779 0.968 0.858
19 O 0.851 0.357 0.082
20 O 0.968 0.779 0.358

Results
E_tot, eV/cell: -105.75
SG: C2/c, No. 15

---

| no. | calculated volume (Å³/atom) | total magnetic moment (μB per atom) |
| --- | --- | --- |
| 1 | 11.33 | 0.1223 |
| 2 | 12.23 | 0.3333 |
| 3 | 11.66 | 0.9019 |
| 4 | 11.50 | 0.3368 |
| 5 | 12.83 | 0.0000 |
| 6 | 17.10 | 0.0002 |
| 7 | 11.89 | 0.2948 |
| 8 | 13.46 | 0.3333 |
| 9 | 13.01 | 0.3295 |
| 10 | 12.65 | 0.4585 |
| 11 | 15.33 | 0.2320 |
| 12 | 11.95 | 0.3012 |